VASP calculation (PBE-GGA) on an optimized crystal structure of La3Tb2Tl3.

density: 9.232 Mg/m³
VASP energy: -33.23 eV per cell
calculated volume: 242 Å³ per cell
DFT formation energy: -25 kJ/mol of atoms
energy relative to the lowest polymorph listed for this composition: 39.8 meV per atom

```
La3Tb2Tl3
1.0
8.987 0.000 0.000
-4.494 7.783 0.000
0.000 0.000 3.465
La Tb Tl
3 2 3
Cartesian
-3.404 5.896 0.000 La
1.089 1.887 0.000 La
6.809 0.000 0.000 La
0.000 5.189 0.000 Tb
4.494 2.594 0.000 Tb
-1.752 3.035 1.733 Tl
3.505 0.000 1.733 Tl
2.741 4.748 1.733 Tl
```